First-principles (PBE) data for a relaxed structure of KMg2Sb, as listed in the Alexandria database.

It has space group Imm2 (No. 44), with a = 5.4426 Å, b = 5.4769 Å, c = 7.7187 Å, α = 90.00°, β = 90.00° and γ = 90.00°. Symmetry generates all atoms from K at (0.0000, 0.0000, 0.0000), Mg at (0.0000, 0.0000, 0.4967), Mg at (0.0000, 0.5000, 0.2485) and Sb at (0.0000, 0.5000, 0.7519).

The formation energy from raw total energies comes out at -11 kJ/mol of formula units. The total energy comes out at -2.131 eV/atom. For the density of states at the Fermi level, the calculation gives 0.5 states/eV/cell.

First-principles (PBE) data for a relaxed structure of AcPmDy2S4, as listed in the Alexandria database.

It has space group P2/m (No. 10), with a = 6.9150 Å, b = 3.9674 Å, c = 7.1790 Å, α = 90.00°, β = 108.57° and γ = 90.00°. Symmetry generates all atoms from Ac at (0.0000, 0.0000, 0.0000), Pm at (0.5000, 0.5000, 0.0000), Dy at (0.0000, 0.5000, 0.5000), Dy at (0.5000, 0.0000, 0.5000), S at (0.2498, 0.0000, 0.7304) and S at (0.2654, 0.5000, 0.2752).

The formation energy from raw total energies comes out at -1534 kJ/mol of formula units. The total energy comes out at -6.309 eV/atom. For the density of states at the Fermi level, the calculation gives 4.2 states/eV/cell.